A plane-wave DFT calculation with PBE was carried out for a relaxed VFe3Pt2 crystal.

Cell: 4.9441 4.9441 4.9441 Å, 130.14 115.50 85.69°
With the nearest neighbours (Å) after each atom.
Element x y z (fractional)
V 0.0000 0.0000 0.0000  5 Fe 2.41-2.64
Fe 0.3329 0.3329 0.0000  4 Fe 2.41-2.64, 1 V 2.41
Fe 0.5004 0.0004 0.5000  3 Fe 2.40-2.41, 2 V 2.64
Fe 0.8319 0.3319 0.5000  3 Fe 2.40-2.64, 2 V 2.41
Pt 0.4154 0.6655 0.7499  2 Pt 2.64, 9 Fe 2.74-2.76, 3 V 2.74-2.76
Pt 0.9156 0.6655 0.2501  2 Pt 2.64, 9 Fe 2.74-2.76, 3 V 2.74-2.76

Computed properties:
The total energy is -47.73 eV/f.u. For the density of states at the Fermi level, the calculation gives 5.375 states/eV/cell. The calculation puts the formation energy at -18 kJ per mole of atoms.

=====

A plane-wave DFT calculation with PBE was carried out for a relaxed Pa2Si3Ru5 crystal.

Cell: 12.3921 12.3921 6.4477 Å, 90.00 90.00 160.93°
With the nearest neighbours (Å) after each atom.
Element x y z (fractional)
Pa 0.0124 0.9876 0.5000  4 Ru 2.82-3.15, 5 Si 2.86-3.01
Pa 0.3249 0.6751 0.5053  8 Ru 2.83-3.11, 4 Si 3.07-3.14
Pa 0.6751 0.3249 0.0053  8 Ru 2.83-3.11, 4 Si 3.07-3.14
Pa 0.9876 0.0124 0.0000  4 Ru 2.82-3.15, 5 Si 2.86-3.01
Si 0.1107 0.8893 0.2610  6 Ru 2.42-2.67
Si 0.2724 0.7276 0.0158  7 Ru 2.39-2.52
Si 0.4451 0.5549 0.2742  4 Ru 2.41-2.50
Si 0.5549 0.4451 0.7742  4 Ru 2.41-2.50
Si 0.7276 0.2724 0.5158  7 Ru 2.39-2.52
Si 0.8893 0.1107 0.7610  6 Ru 2.42-2.67
Ru 0.1030 0.8970 0.8473  3 Si 2.41-2.67, 1 Ru 2.64
Ru 0.2062 0.7938 0.7267  3 Si 2.47-2.52, 2 Ru 2.64-2.69
Ru 0.2087 0.7913 0.3102  4 Si 2.42-2.49, 1 Ru 2.69
Ru 0.3704 0.6296 0.0093  4 Si 2.39-2.64
Ru 0.4443 0.5557 0.6533  3 Si 2.44-2.55
Ru 0.5557 0.4443 0.1533  3 Si 2.44-2.55
Ru 0.6296 0.3704 0.5093  4 Si 2.39-2.64
Ru 0.7913 0.2087 0.8102  4 Si 2.42-2.49, 1 Ru 2.69
Ru 0.7938 0.2062 0.2267  3 Si 2.47-2.52, 2 Ru 2.64-2.69
Ru 0.8970 0.1030 0.3473  3 Si 2.41-2.67, 1 Ru 2.64

Computed properties:
The total energy is -88.24 eV/f.u. For the density of states at the Fermi level, the calculation gives 11.140 states/eV/cell.

=====

A plane-wave DFT calculation with PBE was carried out for a relaxed Pm2ScCd6 crystal.

Cell: 8.6815 8.6815 3.3641 Å, 90.00 90.00 120.00°
With the nearest neighbours (Å) after each atom.
Element x y z (fractional)
Pm 0.3333 0.6667 0.0000  2 Pm 3.36, 12 Cd 3.37
Pm 0.6667 0.3333 0.0000  2 Pm 3.36, 12 Cd 3.37
Sc 0.0000 0.0000 0.0000  12 Cd 3.30, 2 Sc 3.36
Cd 0.0000 0.3269 0.5000  3 Cd 2.84-3.01
Cd 0.0000 0.6731 0.5000  3 Cd 2.84-3.01
Cd 0.3269 0.0000 0.5000  3 Cd 2.84-3.01
Cd 0.3269 0.3269 0.5000  3 Cd 2.84-3.01
Cd 0.6731 0.0000 0.5000  3 Cd 2.84-3.01
Cd 0.6731 0.6731 0.5000  3 Cd 2.84-3.01

Computed properties:
The total energy is -23.96 eV/f.u. For the density of states at the Fermi level, the calculation gives 7.572 states/eV/cell. The calculation puts the formation energy at -28 kJ per mole of atoms.

=====

A plane-wave DFT calculation with PBE was carried out for a relaxed Be2SiPb crystal.

Cell: 3.1193 3.1193 7.3758 Å, 90.00 90.00 102.47°
With the nearest neighbours (Å) after each atom.
Element x y z (fractional)
Be 0.0000 0.0000 0.0000  2 Be 2.21, 2 Si 2.32
Be 0.5000 0.5000 0.1392  2 Be 2.21, 1 Si 2.28
Si 0.5000 0.5000 0.8306  3 Be 2.28-2.32
Pb 0.0000 0.0000 0.4090  3 Be 2.79-3.02, 4 Pb 3.12

Computed properties:
The total energy is -14.32 eV/f.u. For the density of states at the Fermi level, the calculation gives 1.556 states/eV/cell. The calculation puts the excess energy over the best structure of this formula in the dataset at 309.1 meV per atom.

=====

A plane-wave DFT calculation with PBE was carried out for a relaxed PrDy12Ho5 crystal.

Cell: 10.6364 10.6364 5.0114 Å, 90.00 90.00 90.09°
With the nearest neighbours (Å) after each atom.
Element x y z (fractional)
Pr 0.0000 0.0000 0.0000  8 Dy 3.56, 4 Ho 3.56
Dy 0.9999 0.3350 0.0000  8 Dy 3.51-3.56, 3 Ho 3.55, 1 Pr 3.56
Dy 0.0001 0.6650 0.0000  8 Dy 3.51-3.56, 3 Ho 3.55, 1 Pr 3.56
Dy 0.1683 0.1683 0.5000  8 Dy 3.53-3.56, 2 Pr 3.56, 2 Ho 3.58
Dy 0.1677 0.5003 0.5000  4 Ho 3.53-3.54, 8 Dy 3.53-3.57
Dy 0.3340 0.3340 0.0000  8 Dy 3.53-3.55, 4 Ho 3.54
Dy 0.3350 0.9999 0.0000  8 Dy 3.51-3.56, 3 Ho 3.55, 1 Pr 3.56
Dy 0.5003 0.1677 0.5000  4 Ho 3.53-3.54, 8 Dy 3.53-3.57
Dy 0.4997 0.8323 0.5000  4 Ho 3.53-3.54, 8 Dy 3.53-3.57
Dy 0.6650 0.0001 0.0000  8 Dy 3.51-3.56, 3 Ho 3.55, 1 Pr 3.56
Dy 0.6660 0.6660 0.0000  8 Dy 3.53-3.55, 4 Ho 3.54
Dy 0.8323 0.4997 0.5000  4 Ho 3.53-3.54, 8 Dy 3.53-3.57
Dy 0.8317 0.8317 0.5000  8 Dy 3.53-3.56, 2 Pr 3.56, 2 Ho 3.58
Ho 0.1683 0.8317 0.5000  8 Dy 3.53-3.58, 2 Ho 3.53, 2 Pr 3.56
Ho 0.3335 0.6665 0.0000  4 Ho 3.53-3.54, 8 Dy 3.54-3.55
Ho 0.5000 0.5000 0.5000  8 Dy 3.53-3.54, 4 Ho 3.54
Ho 0.6665 0.3335 0.0000  4 Ho 3.53-3.54, 8 Dy 3.54-3.55
Ho 0.8317 0.1683 0.5000  8 Dy 3.53-3.58, 2 Ho 3.53, 2 Pr 3.56

Computed properties:
The total energy is -82.54 eV/f.u. For the density of states at the Fermi level, the calculation gives 24.759 states/eV/cell. The calculation puts the formation energy at 2 kJ per mole of atoms.

=====

A plane-wave DFT calculation with PBE was carried out for a relaxed ThBe2ReSi2 crystal.

Cell: 3.9494 3.9494 6.7607 Å, 90.00 90.00 120.00°
With the nearest neighbours (Å) after each atom.
Element x y z (fractional)
Th 0.0000 0.0000 0.0000  6 Si 3.06, 6 Be 3.22, 2 Re 3.38
Be 0.3333 0.6667 0.3367  4 Si 2.29-2.44, 3 Re 2.53
Be 0.6667 0.3333 0.6633  4 Si 2.29-2.44, 3 Re 2.53
Re 0.0000 0.0000 0.5000  6 Be 2.53, 6 Si 2.64
Si 0.3333 0.6667 0.6979  4 Be 2.29-2.44
Si 0.6667 0.3333 0.3021  4 Be 2.29-2.44

Computed properties:
The total energy is -40.12 eV/f.u. For the density of states at the Fermi level, the calculation gives 2.594 states/eV/cell.